A geometry-optimized Sr5MgZn2 structure, computed with PBE-GGA.

E_form: -0.11 eV per atom
E: -26.94 eV per cell

Unit cell a=10.1334 b=10.1334 c=10.1334 alpha=128.70 beta=128.70 gamma=75.49
Fractional positions:
Sr 0.0000 0.0000 0.0000
Sr 0.0259 0.5259 0.8330
Sr 0.1929 0.0259 0.5000
Sr 0.3071 0.8071 0.8330
Sr 0.4741 0.3071 0.5000
Sr 0.5000 0.5000 0.0000
Sr 0.5259 0.6929 0.5000
Sr 0.6929 0.1929 0.1670
Sr 0.8071 0.9741 0.5000
Sr 0.9741 0.4741 0.1670
Mg 0.2500 0.2500 0.0000
Mg 0.7500 0.7500 0.0000
Zn 0.1156 0.3844 0.5000
Zn 0.3844 0.8844 0.2688
Zn 0.6156 0.1156 0.7312
Zn 0.8844 0.6156 0.5000